DFT (GGA-PBE) results for Pm2AgSn3Te6 after structural relaxation.

Structure (POSCAR):
```
Pm2AgSn3Te6
1.0
9.935 -2.209 0.000
9.935 2.209 0.000
-2.229 0.000 8.805
Pm Ag Sn Te
2 1 3 6
direct
0.166 0.166 0.340
0.834 0.834 0.660
0.500 0.500 0.000
0.161 0.161 0.845
0.500 0.500 0.500
0.839 0.839 0.155
0.004 0.004 0.235
0.326 0.326 0.907
0.333 0.333 0.411
0.667 0.667 0.589
0.674 0.674 0.093
0.996 0.996 0.765
```

Calculated values
Symmetry: C2/m
Formation energy from raw total energies in meV per atom: -613
Final energy in eV per atom: -4.214